{
  "formula": "AcSb3",
  "functional": "PBE",
  "state": "relaxed",
  "lattice_angstrom": [[0.000, 3.970, 3.970], [3.970, 0.000, 3.970], [3.970, 3.970, 0.000]],
  "species": ["Ac", "Sb", "Sb", "Sb"],
  "frac_coords": [[0.000, 0.000, 0.000], [0.250, 0.250, 0.250], [0.500, 0.500, 0.500], [0.750, 0.750, 0.750]],
  "energy_ev_per_atom": -4.432,
  "dos_ef_per_ev_cell": 2.19,
  "formation_energy_uncorrected_ev_per_atom": -0.3136,
  "de_polymorph_ev_per_atom": 0.250
}